Record 1
Below is a relaxed structure of Pb2W, with properties calculated at the GGA-PBEsol level.

Properties
Energy relative to the elements   0.79 eV/atom
Offset from the most stable computed form   0.000 eV/atom

a = 3.122 Å, b = 3.122 Å, c = 8.462 Å
α = 90.00°, β = 90.00°, γ = 120.00°
Atoms (fractional coordinates):
Pb1 0.333 0.667 0.287
Pb2 0.667 0.333 0.713
W1 0.000 0.000 0.000

Record 2
Below is a relaxed structure of AlTc, with properties calculated at the GGA-PBEsol level.

Properties
Energy relative to the elements   1.80 eV/atom
Offset from the most stable computed form   2.189 eV/atom

a = 3.977 Å, b = 3.977 Å, c = 3.977 Å
α = 60.00°, β = 60.00°, γ = 60.00°
Last column: magnetic moment on the atom in μB.
Atoms (fractional coordinates):
Al1 0.000 0.000 0.000  -0.01
Tc1 0.250 0.250 0.250  1.78

Record 3
Below is a relaxed structure of HfBiS3, with properties calculated at the GGA-PBEsol level.

Properties
ΔE_f (raw)   0.65 eV/atom
Offset from the most stable computed form   1.297 eV/atom

a = 5.041 Å, b = 5.041 Å, c = 5.041 Å
α = 90.00°, β = 90.00°, γ = 90.00°
Last column: magnetic moment on the atom in μB.
Atoms (fractional coordinates):
S1 0.000 0.000 0.500  -0.05
S2 0.500 0.000 0.000  -0.05
S3 0.000 0.500 0.000  -0.05
Bi1 0.000 0.000 0.000  -0.01
Hf1 0.500 0.500 0.500  0.80

| no. | E_tot (eV per cell) |
| --- | --- |
| 1 | -19.42 |
| 2 | -11.76 |
| 3 | -24.71 |